A relaxed KLaCoSe3 crystal. Source: the Open Quantum Materials Database, functional PBE.

Computed properties:
Final energy: -4.928 eV per atom
Crystal system: monoclinic
Symmetry: C2/m, No. 12
V: 328.6 Å³/cell

Structure (POSCAR):
```
KLaCoSe3
1.0
8.658 -2.235 0.000
8.658 2.235 0.000
-2.168 0.000 8.489
La Co K Se
2 2 2 6
Direct
0.168 0.168 0.599 La
0.832 0.832 0.401 La
0.500 0.500 0.266 Co
0.500 0.500 0.734 Co
0.142 0.142 0.076 K
0.858 0.858 0.924 K
0.650 0.650 0.810 Se
0.000 0.000 0.500 Se
0.653 0.653 0.356 Se
0.347 0.347 0.644 Se
0.500 0.500 0.000 Se
0.350 0.350 0.190 Se
```